# 1
A relaxed structure of AcCeP2. Source: Alexandria, functional PBE.

The structure belongs to space group R-3m (No. 166, hexagonal axes); the cell edges are 4.3063, 4.3063 and 25.2093 Å and the angles 90.00°, 90.00° and 120.00°. The distinct sites, in fractional coordinates, are Ac at (0.0000, 0.0000, 0.0000), Ce at (0.0000, 0.0000, 0.5000) and P at (0.0000, 0.0000, 0.1136).

As for the density: 5.28 g/cm3. For the calculated formation energy, the calculation gives -63.55 kJ/mol of atoms. The value obtained for the calculated volume is 33.7 Å³/atom. Its polymorph energy (0 for the lowest one) is 797.5 meV/atom. The calculation puts the total moment at 0.4 μB/f.u.


# 2
A relaxed structure of CdSi. Source: Alexandria, functional PBE.

The structure belongs to space group P-62m (No. 189); the cell edges are 7.5814, 7.5814 and 2.7979 Å and the angles 90.00°, 90.00° and 120.00°. The distinct sites, in fractional coordinates, are Cd at (0.0000, 0.3523, 0.0000), Si at (0.0000, 0.0000, 0.0000) and Si at (0.3333, 0.6667, 0.5000).

As for the density: 5.03 g/cm3. The value obtained for the calculated volume is 23.2 Å³/atom. Its uncorrected formation energy is 489.4 meV per atom. The calculation puts the total moment at 0.0 μB/f.u.


# 3
A relaxed structure of BaSr3O. Source: Alexandria, functional PBE.

The structure belongs to space group Pm-3m (No. 221); the cell edges are 6.7000, 6.7000 and 6.7000 Å and the angles 90.00°, 90.00° and 90.00°. The distinct sites, in fractional coordinates, are Ba at (0.0000, 0.0000, 0.0000), Sr at (0.0000, 0.0000, 0.5000) and O at (0.5000, 0.5000, 0.5000).

As for the density: 2.30 g/cm3. The value obtained for the calculated volume is 60.2 Å³/atom. Its polymorph energy (0 for the lowest one) is 1962.3 meV/atom. Its uncorrected formation energy is 1161.1 meV per atom. The calculation puts the total moment at 4.5 μB/f.u.


# 4
A relaxed structure of KTeF2. Source: Alexandria, functional PBE.

The structure belongs to space group R-3m (No. 166, hexagonal axes); the cell edges are 3.8594, 3.8594 and 21.4695 Å and the angles 90.00°, 90.00° and 120.00°. The distinct sites, in fractional coordinates, are K at (0.0000, 0.0000, 0.0000), Te at (0.0000, 0.0000, 0.5000) and F at (0.0000, 0.0000, 0.3989).

As for the density: 3.68 g/cm3. The value obtained for the calculated volume is 23.1 Å³/atom. Its polymorph energy (0 for the lowest one) is 0.0 meV/atom. Its uncorrected formation energy is -1891.8 meV per atom. The calculation puts the total moment at 0.0 μB/f.u.